# 1
The following is a PBE calculation of a geometry-optimized DySnPt structure, from the Alexandria database.

Output
For the total energy, the calculation gives -17.62 eV for the cell shown. The volume comes out at 67 Å³/f.u. For the energy of formation, the calculation gives -0.99 eV/atom. As for the space-group type: No. 187.

Unit cell a=3.602 b=4.640 c=4.640 alpha=120.00 beta=90.00 gamma=90.00
Fractional coordinates of all 3 atoms:
Sn (0.167, 0.333, 0.667)
Dy (0.667, 0.667, 0.333)
Pt (0.167, 0.000, 0.000)

# 2
The following is a PBE calculation of a geometry-optimized Dy2SnPt structure, from the Alexandria database.

Output
For the total energy, the calculation gives -46.60 eV for the cell shown. The volume comes out at 100 Å³/f.u. For the energy of formation, the calculation gives -1.01 eV/atom. As for the space-group type: No. 11.

Unit cell a=4.379 b=6.083 c=8.105 alpha=111.43 beta=90.00 gamma=90.00
Fractional coordinates of all 8 atoms:
Dy (0.250, 0.798, 0.554)
Dy (0.750, 0.202, 0.446)
Dy (0.750, 0.231, 0.905)
Dy (0.250, 0.769, 0.095)
Pt (0.250, 0.331, 0.704)
Pt (0.750, 0.669, 0.296)
Sn (0.250, 0.321, 0.207)
Sn (0.750, 0.679, 0.793)

# 3
The following is a PBE calculation of a geometry-optimized DySnPt2 structure, from the Alexandria database.

Output
For the total energy, the calculation gives -24.12 eV for the cell shown. The volume comes out at 80 Å³/f.u. For the energy of formation, the calculation gives -0.86 eV/atom. As for the space-group type: No. 123.

Unit cell a=3.712 b=4.629 c=4.629 alpha=90.00 beta=90.00 gamma=90.00
Fractional coordinates of all 4 atoms:
Sn (0.500, 0.000, 0.000)
Dy (0.500, 0.500, 0.500)
Pt (0.000, 0.000, 0.500)
Pt (0.000, 0.500, 0.000)

# 4
The following is a PBE calculation of a geometry-optimized DySnPt6 structure, from the Alexandria database.

Output
For the total energy, the calculation gives -50.53 eV for the cell shown. The volume comes out at 137 Å³/f.u. For the energy of formation, the calculation gives -0.71 eV/atom. As for the space-group type: No. 123.

Unit cell a=4.095 b=4.095 c=8.162 alpha=90.00 beta=90.00 gamma=90.00
Fractional coordinates of all 8 atoms:
Dy (0.000, 0.000, 0.000)
Sn (0.000, 0.000, 0.500)
Pt (0.500, 0.000, 0.255)
Pt (0.500, 0.000, 0.745)
Pt (0.500, 0.500, 0.500)
Pt (0.500, 0.500, 0.000)
Pt (0.000, 0.500, 0.745)
Pt (0.000, 0.500, 0.255)

# 5
The following is a PBE calculation of a geometry-optimized Dy7Sn2Pt2 structure, from the Alexandria database.

Output
For the total energy, the calculation gives -59.32 eV for the cell shown. The volume comes out at 321 Å³/f.u. For the energy of formation, the calculation gives -0.64 eV/atom. As for the space-group type: No. 65.

Unit cell a=6.894 b=7.038 c=6.894 alpha=90.00 beta=106.06 gamma=90.00
Fractional coordinates of all 11 atoms:
Dy (0.500, 0.241, 0.500)
Dy (0.500, 0.748, 0.000)
Dy (0.500, 0.759, 0.500)
Dy (0.500, 0.252, 0.000)
Dy (0.000, 0.748, 0.500)
Dy (0.000, 0.252, 0.500)
Dy (0.000, 0.000, 0.000)
Sn (0.180, 0.500, 0.180)
Sn (0.820, 0.500, 0.820)
Pt (0.715, 0.000, 0.285)
Pt (0.285, 0.000, 0.715)

# 6
The following is a PBE calculation of a geometry-optimized Dy2SnPt structure, from the Alexandria database.

Output
For the total energy, the calculation gives -22.50 eV for the cell shown. The volume comes out at 108 Å³/f.u. For the energy of formation, the calculation gives -0.81 eV/atom. As for the space-group type: No. 166.

Unit cell a=3.927 b=3.927 c=8.387 alpha=76.46 beta=76.46 gamma=60.00
Fractional coordinates of all 4 atoms:
Dy (0.736, 0.736, 0.792)
Dy (0.264, 0.264, 0.208)
Sn (0.500, 0.500, 0.500)
Pt (0.000, 0.000, 0.000)

# 7
The following is a PBE calculation of a geometry-optimized Dy3SnPt structure, from the Alexandria database.

Output
For the total energy, the calculation gives -55.95 eV for the cell shown. The volume comes out at 138 Å³/f.u. For the energy of formation, the calculation gives -0.83 eV/atom. As for the space-group type: No. 59.

Unit cell a=4.547 b=6.805 c=8.929 alpha=90.00 beta=90.00 gamma=90.00
Fractional coordinates of all 10 atoms:
Dy (0.750, 0.504, 0.662)
Dy (0.250, 0.250, 0.923)
Dy (0.750, 0.750, 0.077)
Dy (0.750, 0.996, 0.662)
Dy (0.250, 0.496, 0.338)
Dy (0.250, 0.004, 0.338)
Pt (0.250, 0.250, 0.599)
Pt (0.750, 0.750, 0.401)
Sn (0.750, 0.250, 0.147)
Sn (0.250, 0.750, 0.853)

# 8
The following is a PBE calculation of a geometry-optimized DySn2Pt9 structure, from the Alexandria database.

Output
For the total energy, the calculation gives -74.30 eV for the cell shown. The volume comes out at 204 Å³/f.u. For the energy of formation, the calculation gives -0.61 eV/atom. As for the space-group type: No. 123.

Unit cell a=4.080 b=4.080 c=12.229 alpha=90.00 beta=90.00 gamma=90.00
Fractional coordinates of all 12 atoms:
Pt (0.500, 0.500, 0.000)
Pt (0.500, 0.000, 0.500)
Pt (0.000, 0.500, 0.830)
Pt (0.000, 0.500, 0.170)
Pt (0.500, 0.000, 0.830)
Pt (0.500, 0.500, 0.663)
Pt (0.500, 0.500, 0.337)
Pt (0.000, 0.500, 0.500)
Pt (0.500, 0.000, 0.170)
Sn (0.000, 0.000, 0.333)
Sn (0.000, 0.000, 0.667)
Dy (0.000, 0.000, 0.000)

# 9
The following is a PBE calculation of a geometry-optimized DySnPt4 structure, from the Alexandria database.

Output
For the total energy, the calculation gives -37.36 eV for the cell shown. The volume comes out at 112 Å³/f.u. For the energy of formation, the calculation gives -0.77 eV/atom. As for the space-group type: No. 216.

Unit cell a=5.412 b=5.412 c=5.412 alpha=60.00 beta=60.00 gamma=60.00
Fractional coordinates of all 6 atoms:
Pt (0.625, 0.125, 0.625)
Pt (0.625, 0.625, 0.125)
Pt (0.625, 0.625, 0.625)
Pt (0.125, 0.625, 0.625)
Dy (0.250, 0.250, 0.250)
Sn (0.000, 0.000, 0.000)

# 10
The following is a PBE calculation of a geometry-optimized Dy3Sn2Pt structure, from the Alexandria database.

Output
For the total energy, the calculation gives -132.88 eV for the cell shown. The volume comes out at 158 Å³/f.u. For the energy of formation, the calculation gives -0.89 eV/atom. As for the space-group type: No. 62.

Unit cell a=4.499 b=11.569 c=12.174 alpha=90.00 beta=90.00 gamma=90.00
Fractional coordinates of all 24 atoms:
Sn (0.250, 0.806, 0.001)
Sn (0.250, 0.994, 0.314)
Sn (0.750, 0.306, 0.499)
Sn (0.250, 0.506, 0.814)
Sn (0.250, 0.694, 0.501)
Sn (0.750, 0.494, 0.186)
Sn (0.750, 0.194, 0.999)
Sn (0.750, 0.006, 0.686)
Pt (0.250, 0.372, 0.623)
Pt (0.250, 0.128, 0.123)
Pt (0.750, 0.628, 0.377)
Pt (0.750, 0.872, 0.877)
Dy (0.750, 0.871, 0.447)
Dy (0.250, 0.371, 0.053)
Dy (0.750, 0.947, 0.122)
Dy (0.750, 0.200, 0.265)
Dy (0.250, 0.053, 0.878)
Dy (0.750, 0.300, 0.765)
Dy (0.750, 0.553, 0.622)
Dy (0.250, 0.447, 0.378)
Dy (0.250, 0.800, 0.735)
Dy (0.250, 0.700, 0.235)
Dy (0.750, 0.629, 0.947)
Dy (0.250, 0.129, 0.553)

# 11
The following is a PBE calculation of a geometry-optimized TbDySnPt structure, from the Alexandria database.

Output
For the total energy, the calculation gives -22.68 eV for the cell shown. The volume comes out at 97 Å³/f.u. For the energy of formation, the calculation gives -0.85 eV/atom. As for the space-group type: No. 216.

Unit cell a=5.158 b=5.158 c=5.158 alpha=60.00 beta=60.00 gamma=60.00
Fractional coordinates of all 4 atoms:
Tb (0.750, 0.750, 0.750)
Dy (0.250, 0.250, 0.250)
Sn (0.500, 0.500, 0.500)
Pt (0.000, 0.000, 0.000)

# 12
The following is a PBE calculation of a geometry-optimized DyYSnPt structure, from the Alexandria database.

Output
For the total energy, the calculation gives -24.56 eV for the cell shown. The volume comes out at 97 Å³/f.u. For the energy of formation, the calculation gives -0.86 eV/atom. As for the space-group type: No. 216.

Unit cell a=5.151 b=5.151 c=5.151 alpha=60.00 beta=60.00 gamma=60.00
Fractional coordinates of all 4 atoms:
Pt (0.750, 0.750, 0.750)
Y (0.500, 0.500, 0.500)
Sn (0.250, 0.250, 0.250)
Dy (0.000, 0.000, 0.000)

> Which of these has the highest energy of formation?

DySn2Pt9